1.
The following is a PBE calculation of an optimized crystal structure of K3Ca2HfSe6, from Alexandria via LeMat-Bulk.

## Properties
Space-group type: No. 12
E in Ry/atom: -0.3413

a b c (Å): 7.260 7.260 8.041
angles (deg): 98.71 98.71 119.99
Sites, in units of the cell vectors:
Ca: 0.334 0.666 0.000
Ca: 0.666 0.334 0.000
K: 0.828 0.172 0.500
K: 0.172 0.828 0.500
K: 0.500 0.500 0.500
Se: 0.932 0.625 0.797
Se: 0.625 0.932 0.797
Se: 0.238 0.238 0.796
Se: 0.762 0.762 0.204
Se: 0.375 0.068 0.203
Se: 0.068 0.375 0.203
Hf: 0.000 0.000 0.000



2.
The following is a PBE calculation of an optimized crystal structure of Y2ZnGe, from Alexandria via LeMat-Bulk.

## Properties
ΔH_f (0 K) in eV/atom: -0.2540
Space-group type: No. 122

a b c (Å): 7.715 7.715 6.463
angles (deg): 53.36 53.36 90.00
Sites, in units of the cell vectors:
Y: 0.630 0.125 0.250
Y: 0.120 0.625 0.250
Y: 0.875 0.880 0.750
Y: 0.375 0.370 0.750
Ge: 0.750 0.250 0.500
Ge: 0.000 0.000 0.000
Zn: 0.250 0.750 0.500
Zn: 0.500 0.500 0.000



3.
The following is a PBE calculation of an optimized crystal structure of BeCrFe2Ir, from Alexandria via LeMat-Bulk.

## Properties
ΔH_f (0 K) in eV/atom: 1.3212
Space-group type: No. 123

a b c (Å): 4.126 4.524 4.126
angles (deg): 90.00 90.00 90.00
Sites, in units of the cell vectors:
Cr: 0.000 0.000 0.000
Ir: 0.000 0.500 0.000
Fe: 0.500 0.000 0.000
Fe: 0.000 0.000 0.500
Be: 0.500 0.500 0.500



4.
The following is a PBE calculation of an optimized crystal structure of SmDyCuPb, from Alexandria via LeMat-Bulk.

## Properties
ΔH_f (0 K) in eV/atom: -0.2994
Space-group type: No. 216

a b c (Å): 5.254 5.254 5.254
angles (deg): 60.00 60.00 60.00
Sites, in units of the cell vectors:
Dy: 0.000 0.000 0.000
Sm: 0.500 0.500 0.500
Cu: 0.250 0.250 0.250
Pb: 0.750 0.750 0.750



5.
The following is a PBE calculation of an optimized crystal structure of LaNd14In, from Alexandria via LeMat-Bulk.

## Properties
ΔH_f (0 K) in eV/atom: -0.0373
Space-group type: No. 38

a b c (Å): 7.281 7.281 10.320
angles (deg): 90.00 90.00 89.99
Sites, in units of the cell vectors:
Nd: 0.621 0.379 0.246
Nd: 0.621 0.871 0.246
Nd: 0.621 0.871 0.754
Nd: 0.129 0.871 0.755
Nd: 0.129 0.379 0.754
Nd: 0.129 0.379 0.246
Nd: 0.376 0.126 0.000
Nd: 0.875 0.125 0.500
Nd: 0.874 0.624 0.000
Nd: 0.875 0.625 0.500
Nd: 0.129 0.871 0.245
Nd: 0.375 0.625 0.500
Nd: 0.375 0.125 0.500
Nd: 0.621 0.379 0.754
La: 0.875 0.125 0.000
In: 0.375 0.625 0.000



6.
The following is a PBE calculation of an optimized crystal structure of LiPAuO2, from Alexandria via LeMat-Bulk.

## Properties
Space-group type: No. 123
Excess energy over the best structure of this formula in the dataset in meV per atom: 0

a b c (Å): 3.649 3.649 5.029
angles (deg): 90.00 90.00 90.00
Sites, in units of the cell vectors:
Li: 0.000 0.000 0.000
Au: 0.500 0.500 0.500
P: 0.000 0.000 0.500
O: 0.000 0.500 0.000
O: 0.500 0.000 0.000



Result set for theoretical density: 4.0, 5.1, 7.9, 9.5, 6.9, 6.6 g/cm³, one per record in the order listed.